DFT (GGA-PBE) results for a relaxed Zr2BH crystal.

CIF file:
```
data_Zr2BH
_symmetry_space_group_name_H-M 'R -3 m'
_symmetry_Int_Tables_number 166
_symmetry_space_group_name_Hall '-R 3 2"'
_cell_length_a 3.4847
_cell_length_b 3.4847
_cell_length_c 15.7158
_cell_angle_alpha 90.00
_cell_angle_beta 90.00
_cell_angle_gamma 120.00
loop_
_atom_site_label
_atom_site_type_symbol
_atom_site_fract_x
_atom_site_fract_y
_atom_site_fract_z
Zr1 Zr 0.0000 0.0000 0.2478
B1 B 0.0000 0.0000 0.5000
H1 H 0.0000 0.0000 0.0000
```

Results
Electronic total energy (eV for the cell shown): -87.3

=====

DFT (GGA-PBE) results for a relaxed ZrB2H crystal.

CIF file:
```
data_ZrB2H
_symmetry_space_group_name_H-M 'F m -3 m'
_symmetry_Int_Tables_number 225
_symmetry_space_group_name_Hall '-F 4 2 3'
_cell_length_a 5.530
_cell_length_b 5.530
_cell_length_c 5.530
_cell_angle_alpha 90.00
_cell_angle_beta 90.00
_cell_angle_gamma 90.00
loop_
_atom_site_label
_atom_site_type_symbol
_atom_site_fract_x
_atom_site_fract_y
_atom_site_fract_z
Zr1 Zr 0.000 0.000 0.000
B1 B 0.250 0.250 0.250
H1 H 0.000 0.000 0.500
```

Results
Energy relative to the lowest polymorph listed for this composition (meV/atom): 992

=====

DFT (GGA-PBE) results for a relaxed Hf3B crystal.

CIF file:
```
data_Hf3B
_symmetry_space_group_name_H-M 'I m m 2'
_symmetry_Int_Tables_number 44
_symmetry_space_group_name_Hall 'I 2 -2'
_cell_length_a 3.244
_cell_length_b 8.498
_cell_length_c 5.388
_cell_angle_alpha 90.00
_cell_angle_beta 90.00
_cell_angle_gamma 90.00
loop_
_atom_site_label
_atom_site_type_symbol
_atom_site_fract_x
_atom_site_fract_y
_atom_site_fract_z
Hf1 Hf 0.000 0.000 0.000
Hf2 Hf 0.000 0.182 0.489
B1 B 0.000 0.500 0.189
```

Results
DFT formation energy (eV per formula unit): -0.2

=====

DFT (GGA-PBE) results for a relaxed Hf4B crystal.

CIF file:
```
data_Hf4B
_symmetry_space_group_name_H-M 'P m -3 m'
_symmetry_Int_Tables_number 221
_symmetry_space_group_name_Hall '-P 4 2 3'
_cell_length_a 4.649
_cell_length_b 4.649
_cell_length_c 4.649
_cell_angle_alpha 90.00
_cell_angle_beta 90.00
_cell_angle_gamma 90.00
loop_
_atom_site_label
_atom_site_type_symbol
_atom_site_fract_x
_atom_site_fract_y
_atom_site_fract_z
Hf1 Hf 0.000 0.000 0.000
Hf2 Hf 0.000 0.500 0.500
B1 B 0.500 0.500 0.500
```

Results
DFT formation energy (eV per formula unit): -0.1

=====

DFT (GGA-PBE) results for a relaxed Hf2B3 crystal.

CIF file:
```
data_Hf2B3
_symmetry_space_group_name_H-M 'C m c m'
_symmetry_Int_Tables_number 63
_symmetry_space_group_name_Hall '-C 2c 2'
_cell_length_a 3.492
_cell_length_b 20.169
_cell_length_c 3.171
_cell_angle_alpha 90.00
_cell_angle_beta 90.00
_cell_angle_gamma 90.00
loop_
_atom_site_label
_atom_site_type_symbol
_atom_site_fract_x
_atom_site_fract_y
_atom_site_fract_z
Hf1 Hf 0.000 0.068 0.250
Hf2 Hf 0.000 0.202 0.750
B1 B 0.000 0.340 0.750
B2 B 0.000 0.387 0.250
B3 B 0.000 0.478 0.250
```

Results
DFT formation energy (eV per formula unit): -4.5

=====

DFT (GGA-PBE) results for a relaxed HfB12 crystal.

CIF file:
```
data_HfB12
_symmetry_space_group_name_H-M 'F m -3 m'
_symmetry_Int_Tables_number 225
_symmetry_space_group_name_Hall '-F 4 2 3'
_cell_length_a 7.384
_cell_length_b 7.384
_cell_length_c 7.384
_cell_angle_alpha 90.00
_cell_angle_beta 90.00
_cell_angle_gamma 90.00
loop_
_atom_site_label
_atom_site_type_symbol
_atom_site_fract_x
_atom_site_fract_y
_atom_site_fract_z
Hf1 Hf 0.000 0.000 0.000
B1 B 0.000 0.170 0.330
```

Results
DFT formation energy (eV per formula unit): -2.6

=====

- What is the formula in the first record?
  Zr2BH